[1]
Density functional theory data (GGA-PBE) for an optimized crystal structure of BeIrSe2Br.

Summary:
Space group: P4/mmm
Energy relative to the elements, uncorrected (eV per atom): 0.859
ΔE to the lowest computed polymorph (meV per atom): 17
Density (g/cm³): 7.95
Volume (Å³/atom): 18.33

a = 4.537 Å, b = 4.537 Å, c = 4.453 Å
α = 90.00°, β = 90.00°, γ = 90.00°
Sites, in units of the cell vectors:
1 Be 0.000 0.000 0.000
2 Ir 0.500 0.500 0.500
3 Se 0.000 0.500 0.000
4 Se 0.500 0.000 0.000
5 Br 0.000 0.000 0.500

[2]
Density functional theory data (GGA-PBE) for an optimized crystal structure of BeIrSe2Br.

Summary:
Space group: P4/mmm
Energy relative to the elements, uncorrected (eV per atom): 0.842
ΔE to the lowest computed polymorph (meV per atom): 0
Density (g/cm³): 5.92
Volume (Å³/atom): 24.63

a = 4.873 Å, b = 4.873 Å, c = 5.184 Å
α = 90.00°, β = 90.00°, γ = 90.00°
Sites, in units of the cell vectors:
1 Be 0.000 0.000 0.000
2 Ir 0.500 0.500 0.500
3 Se 0.000 0.500 0.500
4 Se 0.500 0.000 0.500
5 Br 0.500 0.500 0.000

[3]
Density functional theory data (GGA-PBE) for an optimized crystal structure of BeIrSeBr2.

Summary:
Space group: P4/mmm
Energy relative to the elements, uncorrected (eV per atom): 0.750
ΔE to the lowest computed polymorph (meV per atom): 0
Density (g/cm³): 5.67
Volume (Å³/atom): 25.78

a = 5.228 Å, b = 5.228 Å, c = 4.715 Å
α = 90.00°, β = 90.00°, γ = 90.00°
Sites, in units of the cell vectors:
1 Be 0.000 0.000 0.000
2 Ir 0.500 0.500 0.500
3 Se 0.500 0.500 0.000
4 Br 0.000 0.500 0.500
5 Br 0.500 0.000 0.500

[4]
Density functional theory data (GGA-PBE) for an optimized crystal structure of BeSiIrBr2.

Summary:
Space group: P4/mmm
Energy relative to the elements, uncorrected (eV per atom): 1.222
Density (g/cm³): 5.87
Volume (Å³/atom): 22.03

a = 5.131 Å, b = 5.131 Å, c = 4.184 Å
α = 90.00°, β = 90.00°, γ = 90.00°
Sites, in units of the cell vectors:
1 Be 0.000 0.000 0.000
2 Si 0.000 0.000 0.500
3 Ir 0.500 0.500 0.000
4 Br 0.000 0.500 0.500
5 Br 0.500 0.000 0.500

volume of number 3 (BeIrSeBr2)?
25.78 Å³/atom

Repeat the first record exactly.
Density functional theory data (GGA-PBE) for an optimized crystal structure of BeIrSe2Br.

Summary:
Space group: P4/mmm
Energy relative to the elements, uncorrected (eV per atom): 0.859
ΔE to the lowest computed polymorph (meV per atom): 17
Density (g/cm³): 7.95
Volume (Å³/atom): 18.33

a = 4.537 Å, b = 4.537 Å, c = 4.453 Å
α = 90.00°, β = 90.00°, γ = 90.00°
Sites, in units of the cell vectors:
1 Be 0.000 0.000 0.000
2 Ir 0.500 0.500 0.500
3 Se 0.000 0.500 0.000
4 Se 0.500 0.000 0.000
5 Br 0.000 0.000 0.500